Entry 1:
This record from Alexandria describes a relaxed Y2HfBi2N2 crystal. The functional is PBE-GGA.

Cell: 4.2144 4.2144 16.7779 Å, 90.00 90.00 90.00°
Closest atoms and distances in Å follow each position.
Space group I4/mmm (No. 139)
Symmetry-distinct sites (fractional):
Y 0.0000 0.0000 0.0940 x4  4 N 2.63
Hf 0.0000 0.0000 0.5000 x2  4 N 2.11
Bi 0.0000 0.0000 0.3102 x4  1 Hf 3.19, 4 Y 3.39
N 0.0000 0.5000 0.0000 x4  2 Hf 2.11

D(E_F), states/eV/f.u.: 3.23
ρ, Mg/m³: 8.9
Magnetization, μB/cell: 0.0
Total energy, eV/cell: -109.13
Crystal system: tetragonal
Formation energy without anion corrections, meV per atom: -1038.8

Entry 2:
This record from Alexandria describes a relaxed NaHf2Bi2 crystal. The functional is PBE-GGA.

Cell: 4.5702 4.5702 14.5138 Å, 90.00 90.00 90.00°
Closest atoms and distances in Å follow each position.
Space group I4/mmm (No. 139)
Symmetry-distinct sites (fractional):
Na 0.0000 0.0000 0.0000 x2  8 Bi 3.66
Hf 0.0000 0.5000 0.2500 x4  4 Bi 2.98, 4 Hf 3.23
Bi 0.0000 0.0000 0.3816 x4  4 Hf 2.98

D(E_F), states/eV/f.u.: 5.40
ρ, Mg/m³: 8.7
Energy above the lowest structure with this stoichiometry, meV per atom: 8
Magnetization, μB/cell: 0.0
Total energy, eV/cell: -57.81
Crystal system: tetragonal

Entry 3:
This record from Alexandria describes a relaxed NaHf2Bi crystal. The functional is PBE-GGA.

Cell: 8.3288 8.3288 5.9351 Å, 90.00 90.00 90.00°
Closest atoms and distances in Å follow each position.
Space group I-42d (No. 122)
Symmetry-distinct sites (fractional):
Na 0.0000 0.0000 0.0000 x4  2 Bi 2.97, 4 Hf 3.12
Hf 0.2348 0.2500 0.6250 x8  2 Bi 2.95, 2 Hf 2.98, 2 Na 3.12
Bi 0.0000 0.0000 0.5000 x4  4 Hf 2.95, 2 Na 2.97

D(E_F), states/eV/f.u.: 4.48
ρ, Mg/m³: 9.5
Magnetization, μB/cell: 0.0
Total energy, eV/cell: -90.19
Crystal system: tetragonal